Material: CsErI2O8
Method: DFT, PBE
State: relaxed

Formation energy from raw total energies ... -1.08 eV per atom

Unit cell a=5.9442 b=5.9442 c=25.0147 alpha=90.00 beta=90.00 gamma=120.00
Space group R-3 (No. 148, hexagonal axes)
Unique sites:
Cs: 0.0000 0.0000 0.0000 [3 per cell]
Er: 0.0000 0.0000 0.5000 [3 per cell]
I: 0.0000 0.0000 0.2293 [6 per cell]
O: 0.0000 0.0000 0.3009 [6 per cell]
O: 0.0057 0.6264 0.1150 [18 per cell]